1.
Entry from Alexandria: a relaxed Tb8Nd3Dy2 crystal (PBE).

Values from the calculation:
polymorph energy (0 for the lowest one): 223 meV/atom

a b c (Å): 10.7976 10.7976 5.6782
angles (deg): 90.06 90.06 41.90
With the nearest neighbours (Å) after each atom.
Positions (direct):
Tb: 0.1002 0.6822 0.9996  1 Nd 3.14, 3 Tb 3.23-3.51, 2 Dy 3.42-3.50
Tb: 0.1720 0.1720 0.5015  2 Dy 3.33, 4 Tb 3.50-3.51
Tb: 0.3178 0.8998 0.0004  1 Nd 3.14, 3 Tb 3.23-3.51, 2 Dy 3.42-3.50
Tb: 0.3645 0.3645 0.5008  4 Nd 3.54-3.95, 2 Dy 3.55-3.56, 7 Tb 3.65-3.93
Tb: 0.6355 0.6355 0.4992  4 Nd 3.54-3.95, 2 Dy 3.55-3.56, 7 Tb 3.65-3.93
Tb: 0.6822 0.1002 0.9996  1 Nd 3.14, 3 Tb 3.23-3.51, 2 Dy 3.42-3.50
Tb: 0.8280 0.8280 0.4985  2 Dy 3.33, 4 Tb 3.50-3.51
Tb: 0.8998 0.3178 0.0004  1 Nd 3.14, 3 Tb 3.23-3.51, 2 Dy 3.42-3.50
Nd: 0.2084 0.7916 0.5000  1 Nd 3.22, 6 Tb 3.54-3.59
Nd: 0.5000 0.5000 0.0000  4 Tb 3.14
Nd: 0.7916 0.2084 0.5000  1 Nd 3.22, 6 Tb 3.54-3.59
Dy: 0.2583 0.2583 0.0019  8 Tb 3.33-3.56
Dy: 0.7417 0.7417 0.9981  8 Tb 3.33-3.56

2.
Entry from Alexandria: a relaxed ZnReSiAs2 crystal (PBE).

Values from the calculation:
ΔE_f (raw): 603 meV/atom

a b c (Å): 4.8448 4.8448 4.7487
angles (deg): 90.00 90.00 90.00
With the nearest neighbours (Å) after each atom.
Positions (direct):
Zn: 0.0000 0.0000 0.0000  8 As 3.39, 4 Si 3.43
Re: 0.5000 0.5000 0.5000  2 Si 2.37, 4 As 2.42
Si: 0.5000 0.5000 0.0000  2 Re 2.37
As: 0.0000 0.5000 0.5000  2 Re 2.42
As: 0.5000 0.0000 0.5000  2 Re 2.42

3.
Entry from Alexandria: a relaxed Th2TlN crystal (PBE).

Values from the calculation:
ΔE_f (raw): -308 meV/atom

a b c (Å): 3.2719 3.2719 8.1759
angles (deg): 90.00 90.00 90.00
With the nearest neighbours (Å) after each atom.
Positions (direct):
Th: 0.0000 0.0000 0.1921  4 N 2.80
Th: 0.0000 0.0000 0.8079  4 N 2.80
Tl: 0.5000 0.5000 0.5000  4 Tl 3.27, 8 Th 3.42
N: 0.5000 0.5000 0.0000  8 Th 2.80

4.
Entry from Alexandria: a relaxed La4HoTl3 crystal (PBE).

Values from the calculation:
final energy: -33.5 eV/cell

a b c (Å): 10.0105 10.0105 10.0105
angles (deg): 32.61 32.61 32.61
With the nearest neighbours (Å) after each atom.
Positions (direct):
La: 0.1152 0.1152 0.1152  5 Tl 3.27-3.44, 3 Ho 3.56
La: 0.3666 0.3666 0.3666  7 Tl 3.38-3.72, 3 La 3.76
La: 0.6334 0.6334 0.6334  7 Tl 3.38-3.72, 3 La 3.76
La: 0.8848 0.8848 0.8848  5 Tl 3.27-3.44, 3 Ho 3.56
Ho: 0.5000 0.5000 0.5000  8 La 3.56-3.79, 6 Tl 3.80
Tl: 0.0000 0.0000 0.0000  8 La 3.27-3.38
Tl: 0.2364 0.2364 0.2364  4 La 3.29-3.44
Tl: 0.7637 0.7637 0.7637  4 La 3.29-3.44

| no. | V (Å³ per cell) |
| --- | --- |
| 1 | 442 |
| 2 | 111 |
| 3 | 88 |
| 4 | 259 |